Entry 1:
Below is a relaxed NpCoTe crystal, with properties calculated at the PBE level.

Structure (POSCAR):
```
NpCoTe
1.0
0.0000 3.2855 3.2855
3.2855 0.0000 3.2855
3.2855 3.2855 0.0000
Np Co Te
1 1 1
Cartesian
0.0000 0.0000 0.0000
3.2855 3.2855 3.2855
4.9283 4.9283 4.9283
```

Calculated values
Space-group type   F-43m (216)
Calculated total energy   -7.21 eV per atom
Total magnetization   3.9 μB/cell

---

Entry 2:
Below is a relaxed Hf2ZrBe crystal, with properties calculated at the PBE level.

Structure (POSCAR):
```
Hf2ZrBe
1.0
0.0000 3.3656 3.3656
3.3656 0.0000 3.3656
3.3656 3.3656 0.0000
Hf Zr Be
2 1 1
Cartesian
0.0000 0.0000 0.0000
1.6828 1.6828 1.6828
5.0484 5.0484 5.0484
3.3656 3.3656 3.3656
```

Calculated values
Space-group type   F-43m (216)
Calculated total energy   -7.79 eV per atom
Total magnetization   0.0 μB/cell